Si2PbBr | Alexandria via LeMat-Bulk | GGA-PBE | optimized geometry; DFT total energy = -3.430 eV/atom; space-group type = Cmmm; crystal system = orthorhombic; formation energy from raw total energies = 626 meV/atom; DOS at the Fermi energy = 2.2 states/eV/cell; calculated volume = 23.3 A^3/atom; energy above the lowest structure with this stoichiometry = 621 meV/atom; density = 6.13 g/cm³
1.0
-0.9742 -0.8972 -3.0451
-0.6344 -2.0082 2.5674
-8.4718 4.4609 1.3960
Si Pb Br
2 1 1
Direct
0.0000 0.0000 0.0199 Si
0.0000 0.0000 0.4801 Si
0.5000 0.5000 0.7500 Pb
0.5000 0.5000 0.2500 Br